Record 1
Density functional theory data (PBE) for a relaxed structure of InTe2Ru.

Output
- Energy relative to the elements, uncorrected: -0.421 eV per formula unit

Structure (POSCAR):
```
InTe2Ru
1.0
2.648 -5.052 0.000
2.648 5.052 0.000
0.000 0.000 4.052
In Te Ru
1 2 1
Direct
0.000 0.000 0.000
0.331 0.669 0.500
0.669 0.331 0.500
0.500 0.500 0.000
```



Record 2
Density functional theory data (PBE) for a relaxed structure of InTe2Ru.

Output
- Energy relative to the elements, uncorrected: 1.916 eV per formula unit

Structure (POSCAR):
```
InTe2Ru
1.0
1.590 0.918 11.498
-1.590 0.918 11.498
0.000 -1.836 11.498
In Te Ru
1 2 1
Direct
0.000 0.000 0.000
0.426 0.426 0.426
0.574 0.574 0.574
0.500 0.500 0.500
```



Record 3
Density functional theory data (PBE) for a relaxed structure of InTe2Ru.

Output
- Energy relative to the elements, uncorrected: -0.282 eV per formula unit

Structure (POSCAR):
```
InTe2Ru
1.0
2.049 1.183 7.095
-2.049 1.183 7.095
0.000 -2.366 7.095
In Te Ru
1 2 1
Direct
0.000 0.000 0.000
0.228 0.228 0.228
0.772 0.772 0.772
0.500 0.500 0.500
```



Record 4
Density functional theory data (PBE) for a relaxed structure of In2TeRu.

Output
- Energy relative to the elements, uncorrected: 1.540 eV per formula unit

Structure (POSCAR):
```
In2TeRu
1.0
3.004 -4.122 0.000
3.004 4.122 0.000
0.000 0.000 3.489
In Te Ru
2 1 1
Direct
0.000 0.500 0.000
0.500 0.000 0.000
0.000 0.000 0.500
0.500 0.500 0.500
```